Record 1
ZnTc2Pt, relaxed, DFT PBE; energy relative to the elements = -2 meV per atom; space group = Pmmm; ρ = 12.9 g/cm³
1.0
-0.890 -2.306 1.252
3.714 -1.748 -0.578
1.572 1.846 4.517
Tc Zn Pt
2 1 1
direct
0.000 0.000 0.018
0.000 0.000 0.482
0.500 0.500 0.250
0.500 0.500 0.750

***

Record 2
ZnTc2Pt, relaxed, DFT PBE; energy relative to the elements = -49 meV per atom; space group = C2/m; ρ = 12.9 g/cm³
1.0
-4.656 0.262 -1.358
-3.671 -2.068 -2.416
-1.890 -2.390 3.505
Zn Tc Pt
1 2 1
direct
0.250 0.250 0.250
0.004 0.004 0.003
0.496 0.496 0.497
0.750 0.750 0.750